[1]
Below is RbGeO2F after structural relaxation, with properties calculated at the PBE level.

Summary:
uncorrected formation energy	-1668	meV/atom
total moment	0.00	μB/cell
electronic total energy	-5.143	eV/atom
calculated density	5.35	g cm⁻³

Cell lengths 3.7826, 3.7826, 4.5386 Å; angles 90.00, 90.00, 90.00 degrees
Positions (direct):
Rb 0.0000 0.0000 0.0000
Ge 0.5000 0.5000 0.5000
O 0.0000 0.5000 0.5000
O 0.5000 0.0000 0.5000
F 0.5000 0.5000 0.0000



[2]
Below is YScCdRh after structural relaxation, with properties calculated at the PBE level.

Summary:
total moment	0.00	μB/cell
energy above the most stable polymorph in this dataset	0.0000	eV/atom
electronic total energy	-5.892	eV/atom
calculated density	6.77	g cm⁻³

Cell lengths 3.4128, 3.4128, 7.3510 Å; angles 90.00, 90.00, 90.00 degrees
Positions (direct):
Y 0.0000 0.0000 0.0000
Sc 0.0000 0.0000 0.5646
Cd 0.5000 0.5000 0.3039
Rh 0.5000 0.5000 0.7577



[3]
Below is ScAlOs after structural relaxation, with properties calculated at the PBE level.

Summary:
total moment	0.00	μB/cell
electronic total energy	-7.312	eV/atom
calculated density	7.53	g cm⁻³

Cell lengths 6.1387, 6.1387, 6.1387 Å; angles 90.00, 90.00, 90.00 degrees
Positions (direct):
Sc 0.0000 0.0000 0.0000
Sc 0.0000 0.5000 0.5000
Sc 0.5000 0.0000 0.5000
Sc 0.5000 0.5000 0.0000
Al 0.0000 0.0000 0.5000
Al 0.0000 0.5000 0.0000
Al 0.5000 0.0000 0.0000
Al 0.5000 0.5000 0.5000
Os 0.2500 0.2500 0.2500
Os 0.2500 0.7500 0.7500
Os 0.7500 0.2500 0.7500
Os 0.7500 0.7500 0.2500